A plane-wave DFT calculation with PBE-GGA was carried out for Sr2HfGe after structural relaxation.

SG: No. 216
DFT total energy, eV/atom: -4.06
Total moment, μB/f.u.: 1.1

abc: 5.4250 5.4250 5.4250
angles: 60.00 60.00 60.00
Last column: magnetic moment on the atom in μB.
Fractional coordinates of all 4 atoms:
Ge (0.7500, 0.7500, 0.7500)  -0.01
Hf (0.5000, 0.5000, 0.5000)  0.48
Sr (0.0000, 0.0000, 0.0000)  0.06
Sr (0.2500, 0.2500, 0.2500)  0.05

A plane-wave DFT calculation with PBE-GGA was carried out for SrHfGe2 after structural relaxation.

SG: No. 216
DFT total energy, eV/atom: -4.79
Total moment, μB/f.u.: 0.0

abc: 5.0490 5.0490 5.0490
angles: 60.00 60.00 60.00
Fractional coordinates of all 4 atoms:
Ge (0.0000, 0.0000, 0.0000)
Ge (0.2500, 0.2500, 0.2500)
Hf (0.5000, 0.5000, 0.5000)
Sr (0.7500, 0.7500, 0.7500)

A plane-wave DFT calculation with PBE-GGA was carried out for HfTa2Ge after structural relaxation.

SG: No. 216
DFT total energy, eV/atom: -9.58
Total moment, μB/f.u.: 0.0

abc: 4.6836 4.6836 4.6836
angles: 60.00 60.00 60.00
Fractional coordinates of all 4 atoms:
Ge (0.5000, 0.5000, 0.5000)
Hf (0.2500, 0.2500, 0.2500)
Ta (0.0000, 0.0000, 0.0000)
Ta (0.7500, 0.7500, 0.7500)

A plane-wave DFT calculation with PBE-GGA was carried out for HfTaGe2 after structural relaxation.

SG: No. 216
DFT total energy, eV/atom: -7.48
Total moment, μB/f.u.: 0.0

abc: 4.7045 4.7045 4.7045
angles: 60.00 60.00 60.00
Fractional coordinates of all 4 atoms:
Ge (0.0000, 0.0000, 0.0000)
Ge (0.2500, 0.2500, 0.2500)
Hf (0.5000, 0.5000, 0.5000)
Ta (0.7500, 0.7500, 0.7500)

A plane-wave DFT calculation with PBE-GGA was carried out for HfTaGe after structural relaxation.

SG: No. 216
DFT total energy, eV/atom: -8.80
Total moment, μB/f.u.: 0.0

abc: 4.4113 4.4113 4.4113
angles: 60.00 60.00 60.00
Fractional coordinates of all 3 atoms:
Ge (0.0000, 0.0000, 0.0000)
Hf (0.2500, 0.2500, 0.2500)
Ta (0.7500, 0.7500, 0.7500)

A plane-wave DFT calculation with PBE-GGA was carried out for Hf2TaTcGe2 after structural relaxation.

SG: No. 71
DFT total energy, eV/atom: -9.15
Total moment, μB/f.u.: 0.0

abc: 7.6875 7.6875 7.6875
angles: 151.77 150.37 41.38
Fractional coordinates of all 6 atoms:
Ge (0.6346, 0.1346, 0.5000)
Ge (0.3654, 0.8654, 0.5000)
Hf (0.8264, 0.3264, 0.5000)
Hf (0.1736, 0.6736, 0.5000)
Ta (0.0000, 0.0000, 0.0000)
Tc (0.5000, 0.5000, 0.0000)

A plane-wave DFT calculation with PBE-GGA was carried out for HfZrTa2Ge2 after structural relaxation.

SG: No. 107
DFT total energy, eV/atom: -9.18
Total moment, μB/f.u.: 0.0

abc: 7.9197 7.9197 7.9197
angles: 151.69 151.69 40.47
Fractional coordinates of all 6 atoms:
Ge (0.1346, 0.1346, 0.0000)
Ge (0.8655, 0.8655, 0.0000)
Hf (0.3233, 0.3233, 0.0000)
Ta (0.9999, 0.4999, 0.5000)
Ta (0.4999, 0.9999, 0.5000)
Zr (0.6769, 0.6769, 0.0000)

A plane-wave DFT calculation with PBE-GGA was carried out for Hf2TcGe2 after structural relaxation.

SG: No. 139
DFT total energy, eV/atom: -8.05
Total moment, μB/f.u.: 0.0

abc: 3.4815 3.4815 8.0817
angles: 102.44 102.44 90.00
Fractional coordinates of all 5 atoms:
Ge (0.7500, 0.2500, 0.5000)
Ge (0.2500, 0.7500, 0.5000)
Hf (0.5988, 0.5988, 0.1976)
Hf (0.4012, 0.4012, 0.8024)
Tc (0.0000, 0.0000, 0.0000)